Entry 1:
A plane-wave DFT calculation with PBE was carried out for a geometry-optimized MnGePd structure.

The total energy comes out at -0.237 Ha/atom. For the total magnetization, the calculation gives 3.8 μB per formula unit.

abc: 3.1483 3.1483 9.1415
angles: 90.00 90.00 90.00
Closest atoms and distances in Å follow each position.
Positions (direct):
Mn 0.0000 0.0000 0.3104  4 Ge 2.66, 5 Pd 2.76-2.94
Mn 0.5000 0.5000 0.8104  4 Ge 2.66, 5 Pd 2.76-2.94
Ge 0.0000 0.0000 0.9705  4 Mn 2.66, 4 Pd 2.67
Ge 0.5000 0.5000 0.4705  4 Mn 2.66, 4 Pd 2.67
Pd 0.0000 0.0000 0.6323  4 Ge 2.67, 5 Mn 2.76-2.94
Pd 0.5000 0.5000 0.1323  4 Ge 2.67, 5 Mn 2.76-2.94

Entry 2:
A plane-wave DFT calculation with PBE was carried out for a geometry-optimized Sr12InGa6 structure.

The total energy comes out at -0.089 Ha/atom. For the total magnetization, the calculation gives 3.1 μB per formula unit.

abc: 9.7295 9.7295 9.7295
angles: 109.47 109.47 109.47
Closest atoms and distances in Å follow each position.
Positions (direct):
Sr 0.2940 0.1086 0.8146  3 Ga 3.22-3.37
Sr 0.2940 0.4795 0.1854  3 Ga 3.22-3.37
Sr 0.7060 0.5205 0.8146  3 Ga 3.22-3.37
Sr 0.7060 0.8914 0.1854  3 Ga 3.22-3.37
Sr 0.1086 0.8146 0.2940  3 Ga 3.22-3.37
Sr 0.4795 0.1854 0.2940  3 Ga 3.22-3.37
Sr 0.5205 0.8146 0.7060  3 Ga 3.22-3.37
Sr 0.8914 0.1854 0.7060  3 Ga 3.22-3.37
Sr 0.8146 0.2940 0.1086  3 Ga 3.22-3.37
Sr 0.1854 0.2940 0.4795  3 Ga 3.22-3.37
Sr 0.8146 0.7060 0.5205  3 Ga 3.22-3.37
Sr 0.1854 0.7060 0.8914  3 Ga 3.22-3.37
In 0.0000 0.0000 0.0000  12 Sr 3.91
Ga 0.3851 0.5000 0.8851  1 Ga 2.58
Ga 0.6149 0.5000 0.1149  1 Ga 2.58
Ga 0.5000 0.8851 0.3851  1 Ga 2.58
Ga 0.5000 0.1149 0.6149  1 Ga 2.58
Ga 0.8851 0.3851 0.5000  1 Ga 2.58
Ga 0.1149 0.6149 0.5000  1 Ga 2.58

Entry 3:
A plane-wave DFT calculation with PBE was carried out for a geometry-optimized HoGa8Tc4 structure.

The total energy comes out at -0.209 Ha/atom. For the total magnetization, the calculation gives 0.0 μB per formula unit.

abc: 5.2334 6.8910 6.8910
angles: 81.71 67.68 67.68
Closest atoms and distances in Å follow each position.
Positions (direct):
Ho 0.0000 0.0000 0.0000  12 Ga 3.12-3.24, 8 Tc 3.45
Ga 0.0000 0.3457 0.6543  4 Tc 2.75, 5 Ga 2.78-2.95
Ga 0.0000 0.6543 0.3457  4 Tc 2.75, 5 Ga 2.78-2.95
Ga 0.3457 0.6543 0.6543  4 Tc 2.75, 5 Ga 2.78-2.95
Ga 0.6543 0.3457 0.3457  4 Tc 2.75, 5 Ga 2.78-2.95
Ga 0.5000 0.7886 0.2114  4 Tc 2.63, 4 Ga 2.70-2.88
Ga 0.5000 0.2114 0.7886  4 Tc 2.63, 4 Ga 2.70-2.88
Ga 0.2886 0.2114 0.2114  4 Tc 2.63, 4 Ga 2.70-2.88
Ga 0.7114 0.7886 0.7886  4 Tc 2.63, 4 Ga 2.70-2.88
Tc 0.0000 0.0000 0.5000  2 Tc 2.62, 8 Ga 2.63-2.75
Tc 0.5000 0.0000 0.5000  2 Tc 2.62, 8 Ga 2.63-2.75
Tc 0.0000 0.5000 0.0000  2 Tc 2.62, 8 Ga 2.63-2.75
Tc 0.5000 0.5000 0.0000  2 Tc 2.62, 8 Ga 2.63-2.75

Entry 4:
A plane-wave DFT calculation with PBE was carried out for a geometry-optimized Hf4CoSn2 structure.

The total energy comes out at -0.291 Ha/atom. The calculation puts the energy relative to the lowest polymorph listed for this composition at 0.056 eV/atom. For the total magnetization, the calculation gives 0.0 μB per formula unit.

abc: 4.6480 4.6480 8.2215
angles: 73.58 73.58 90.00
Closest atoms and distances in Å follow each position.
Positions (direct):
Co 0.0000 0.0000 0.0000  6 Hf 2.32-2.46
Hf 0.1635 0.1635 0.6730  1 Co 2.46
Hf 0.8365 0.8365 0.3270  1 Co 2.46
Hf 0.0000 0.5000 0.0000  2 Co 2.32
Hf 0.5000 0.0000 0.0000  2 Co 2.32
Sn 0.3589 0.3589 0.2823  5 Hf 2.94-3.15
Sn 0.6411 0.6411 0.7177  5 Hf 2.94-3.15

Entry 5:
A plane-wave DFT calculation with PBE was carried out for a geometry-optimized NaYPt3 structure.

The total energy comes out at -0.173 Ha/atom. The calculation puts the energy relative to the lowest polymorph listed for this composition at 0.137 eV/atom. For the total magnetization, the calculation gives 0.0 μB per formula unit.

abc: 5.2140 5.2140 5.2140
angles: 90.00 90.00 90.00
Closest atoms and distances in Å follow each position.
Positions (direct):
Y 0.0000 0.0000 0.0000  6 Pt 2.61
Na 0.5000 0.5000 0.5000  12 Pt 3.69
Pt 0.0000 0.5000 0.0000  2 Y 2.61
Pt 0.0000 0.0000 0.5000  2 Y 2.61
Pt 0.5000 0.0000 0.0000  2 Y 2.61

Entry 6:
A plane-wave DFT calculation with PBE was carried out for a geometry-optimized LaCe5Ge5 structure.

The total energy comes out at -0.212 Ha/atom. For the total magnetization, the calculation gives 2.5 μB per formula unit.

abc: 6.0172 7.3194 8.5035
angles: 106.58 90.00 114.27
Closest atoms and distances in Å follow each position.
Positions (direct):
La 0.0000 0.0000 0.0000  6 Ge 3.01-3.11
Ce 0.6623 0.3247 0.3339  5 Ge 2.92-3.01
Ce 0.6693 0.3385 0.8367  5 Ge 3.00-3.01
Ce 0.0000 0.0000 0.5000  4 Ge 2.96-2.98
Ce 0.3307 0.6615 0.1633  5 Ge 3.00-3.01
Ce 0.3377 0.6753 0.6661  5 Ge 2.92-3.01
Ge 0.8280 0.6560 0.1759  5 Ce 2.92-3.01, 1 La 3.11
Ge 0.8301 0.6601 0.6545  5 Ce 2.94-3.01, 1 La 3.10
Ge 0.5000 0.0000 0.0000  4 Ce 2.98-3.00, 2 La 3.01
Ge 0.1699 0.3399 0.3455  5 Ce 2.94-3.01, 1 La 3.10
Ge 0.1720 0.3440 0.8241  5 Ce 2.92-3.01, 1 La 3.11

Entry 7:
A plane-wave DFT calculation with PBE was carried out for a geometry-optimized NdAl2CdAu2 structure.

The total energy comes out at -0.141 Ha/atom. For the total magnetization, the calculation gives 0.0 μB per formula unit.

abc: 4.4859 4.4859 7.2047
angles: 90.00 90.00 120.00
Closest atoms and distances in Å follow each position.
Positions (direct):
Nd 0.0000 0.0000 0.0000  6 Au 3.29, 6 Al 3.34, 2 Cd 3.60
Al 0.6667 0.3333 0.7082  3 Au 2.59
Al 0.3333 0.6667 0.2918  3 Au 2.59
Cd 0.0000 0.0000 0.5000  6 Al 2.99, 6 Au 3.03
Au 0.6667 0.3333 0.2806  3 Al 2.59
Au 0.3333 0.6667 0.7194  3 Al 2.59

Entry 8:
A plane-wave DFT calculation with PBE was carried out for a geometry-optimized Ta2Be2VRh5 structure.

The total energy comes out at -0.302 Ha/atom. For the total magnetization, the calculation gives 0.8 μB per formula unit.

abc: 2.9262 9.5898 9.5898
angles: 90.00 90.00 90.00
Closest atoms and distances in Å follow each position.
Positions (direct):
Ta 0.0000 0.6779 0.1779  3 Be 2.69-2.94, 10 Rh 2.82-2.95, 2 Ta 2.93
Ta 0.0000 0.3221 0.8221  3 Be 2.69-2.94, 10 Rh 2.82-2.95, 2 Ta 2.93
Ta 0.0000 0.1779 0.3221  3 Be 2.69-2.94, 10 Rh 2.82-2.95, 2 Ta 2.93
Ta 0.0000 0.8221 0.6779  3 Be 2.69-2.94, 10 Rh 2.82-2.95, 2 Ta 2.93
Be 0.0000 0.1239 0.6239  6 Rh 2.23-2.25
Be 0.0000 0.8761 0.3761  6 Rh 2.23-2.25
Be 0.0000 0.6239 0.8761  6 Rh 2.23-2.25
Be 0.0000 0.3761 0.1239  6 Rh 2.23-2.25
V 0.0000 0.0000 0.0000  8 Rh 2.55
V 0.0000 0.5000 0.5000  8 Rh 2.55
Rh 0.5000 0.2078 0.0637  2 Be 2.25
Rh 0.5000 0.7922 0.9363  2 Be 2.25
Rh 0.5000 0.0637 0.7922  2 Be 2.25
Rh 0.5000 0.7078 0.4363  2 Be 2.25
Rh 0.5000 0.9363 0.2078  2 Be 2.25
Rh 0.5000 0.2922 0.5637  2 Be 2.25
Rh 0.5000 0.5637 0.7078  2 Be 2.25
Rh 0.5000 0.4363 0.2922  2 Be 2.25
Rh 0.5000 0.5000 0.0000  4 Be 2.23
Rh 0.5000 0.0000 0.5000  4 Be 2.23

Entry 9:
A plane-wave DFT calculation with PBE was carried out for a geometry-optimized Ac3Nd8Sm2 structure.

The total energy comes out at -0.160 Ha/atom. The calculation puts the energy relative to the lowest polymorph listed for this composition at 0.089 eV/atom. For the total magnetization, the calculation gives 0.0 μB per formula unit.

abc: 5.8636 8.1340 11.3165
angles: 111.06 90.04 90.00
Closest atoms and distances in Å follow each position.
Positions (direct):
Ac 0.5000 0.0000 0.0000  4 Nd 3.41, 4 Ac 3.75
Ac 0.0000 0.2868 0.0000  3 Ac 3.47-3.75, 6 Nd 3.70-3.78
Ac 0.0000 0.7132 0.0000  3 Ac 3.47-3.75, 6 Nd 3.70-3.78
Nd 0.0012 0.6788 0.3576  2 Sm 3.40, 4 Nd 3.63-3.64
Nd 0.9988 0.3212 0.6424  2 Sm 3.40, 4 Nd 3.63-3.64
Nd 0.9995 0.1360 0.2721  2 Sm 3.65-3.66, 2 Ac 3.70, 5 Nd 3.83-3.91
Nd 0.0005 0.8640 0.7279  2 Sm 3.65-3.66, 2 Ac 3.70, 5 Nd 3.83-3.91
Nd 0.4996 0.5885 0.7736  3 Nd 3.28-3.64, 1 Ac 3.41, 2 Sm 3.51-3.61
Nd 0.4996 0.1851 0.7736  3 Nd 3.28-3.64, 1 Ac 3.41, 2 Sm 3.51-3.61
Nd 0.5004 0.8149 0.2264  3 Nd 3.28-3.64, 1 Ac 3.41, 2 Sm 3.51-3.61
Nd 0.5004 0.4115 0.2264  3 Nd 3.28-3.64, 1 Ac 3.41, 2 Sm 3.51-3.61
Sm 0.4986 0.2396 0.4792  8 Nd 3.40-3.66
Sm 0.5014 0.7604 0.5208  8 Nd 3.40-3.66

Entry 10:
A plane-wave DFT calculation with PBE was carried out for a geometry-optimized CaTmTe2 structure.

The total energy comes out at -0.169 Ha/atom. The value obtained for the raw formation energy is -1.4027 eV per atom. The calculation puts the energy relative to the lowest polymorph listed for this composition at 0.000 eV/atom. For the total magnetization, the calculation gives 0.0 μB per formula unit.

abc: 4.3664 4.3664 7.6930
angles: 73.51 73.51 60.00
Closest atoms and distances in Å follow each position.
Positions (direct):
Ca 0.5000 0.5000 0.5000  6 Te 3.15
Tm 0.0000 0.0000 0.0000  6 Te 3.07
Te 0.2531 0.2531 0.2406  3 Tm 3.07, 3 Ca 3.15
Te 0.7469 0.7469 0.7594  3 Tm 3.07, 3 Ca 3.15

Entry 11:
A plane-wave DFT calculation with PBE was carried out for a geometry-optimized Ce2AlGa6Cu structure.

The total energy comes out at -0.150 Ha/atom. For the total magnetization, the calculation gives 1.4 μB per formula unit.

abc: 6.3521 6.3521 12.1806
angles: 74.89 74.89 60.00
Closest atoms and distances in Å follow each position.
Positions (direct):
Ce 0.8778 0.8778 0.3666  12 Ga 3.20-3.41
Ce 0.1222 0.1222 0.6334  12 Ga 3.20-3.41
Ce 0.6998 0.6998 0.9007  12 Ga 3.20-3.43
Ce 0.3002 0.3002 0.0993  12 Ga 3.20-3.43
Al 0.0000 0.0000 0.0000  6 Ga 2.59
Al 0.5000 0.5000 0.5000  2 Cu 2.38
Ga 0.9486 0.3422 0.3670  1 Cu 2.38, 2 Ga 2.50
Ga 0.3422 0.9486 0.3670  1 Cu 2.38, 2 Ga 2.50
Ga 0.3422 0.3422 0.3670  1 Cu 2.38, 2 Ga 2.50
Ga 0.0514 0.6578 0.6330  1 Cu 2.38, 2 Ga 2.50
Ga 0.6578 0.0514 0.6330  1 Cu 2.38, 2 Ga 2.50
Ga 0.6578 0.6578 0.6330  1 Cu 2.38, 2 Ga 2.50
Ga 0.6766 0.2306 0.8622  1 Cu 2.45, 1 Al 2.59
Ga 0.2306 0.6766 0.8622  1 Cu 2.45, 1 Al 2.59
Ga 0.2306 0.2306 0.8622  1 Cu 2.45, 1 Al 2.59
Ga 0.3234 0.7694 0.1378  1 Cu 2.45, 1 Al 2.59
Ga 0.7694 0.3234 0.1378  1 Cu 2.45, 1 Al 2.59
Ga 0.7694 0.7694 0.1378  1 Cu 2.45, 1 Al 2.59
Cu 0.5683 0.5683 0.2950  6 Ga 2.38-2.45, 1 Al 2.38
Cu 0.4317 0.4317 0.7050  6 Ga 2.38-2.45, 1 Al 2.38

Entry 12:
A plane-wave DFT calculation with PBE was carried out for a geometry-optimized La2TlBiO5 structure.

The total energy comes out at -0.244 Ha/atom. The value obtained for the raw formation energy is -2.1077 eV per atom. For the total magnetization, the calculation gives 0.0 μB per formula unit.

abc: 6.5763 7.0394 7.0394
angles: 90.00 90.00 90.00
Closest atoms and distances in Å follow each position.
Positions (direct):
La 0.5000 0.6785 0.1785  4 O 2.34-2.59
La 0.5000 0.1785 0.3215  4 O 2.34-2.59
La 0.5000 0.8215 0.6785  4 O 2.34-2.59
La 0.5000 0.3215 0.8215  4 O 2.34-2.59
Tl 0.0000 0.5000 0.5000  10 O 3.23-3.29, 4 Bi 3.52
Tl 0.0000 0.0000 0.0000  10 O 3.23-3.29, 4 Bi 3.52
Bi 0.0000 0.0000 0.5000  4 O 2.27
Bi 0.0000 0.5000 0.0000  4 O 2.27
O 0.5000 0.5000 0.5000  4 La 2.59
O 0.5000 0.0000 0.0000  4 La 2.59
O 0.2690 0.1431 0.6431  1 Bi 2.27, 1 La 2.34
O 0.2690 0.8569 0.3569  1 Bi 2.27, 1 La 2.34
O 0.2690 0.3569 0.1431  1 Bi 2.27, 1 La 2.34
O 0.2690 0.6431 0.8569  1 Bi 2.27, 1 La 2.34
O 0.7310 0.1431 0.6431  1 Bi 2.27, 1 La 2.34
O 0.7310 0.6431 0.8569  1 Bi 2.27, 1 La 2.34
O 0.7310 0.8569 0.3569  1 Bi 2.27, 1 La 2.34
O 0.7310 0.3569 0.1431  1 Bi 2.27, 1 La 2.34